Ta2MnCl at its PBEsol-relaxed geometry, computed with SCAN.

Cell: 3.0485 4.1475 4.9757 Å, 90.00 90.00 90.00°
With the nearest neighbours (Å) after each atom.
Space group Pmmm (No. 47)
One atom of each set of equivalent atoms:
Ta  0.0000  0.0000  0.0000 (multiplicity 1)  4 Cl 2.57
Ta  0.5000  0.0000  0.5000 (multiplicity 1)  4 Mn 2.57
Mn  0.0000  0.5000  0.5000 (multiplicity 1)  4 Ta 2.57
Cl  0.5000  0.5000  0.0000 (multiplicity 1)  4 Ta 2.57

Summary:
* E_tot: -157.2 eV per cell
* Fermi-level density of states: 3.1 states/eV/cell
* E above lowest polymorph: 0 meV/atom
* raw formation energy: 544.9 meV/atom